Compound: Sm2CoSnO6
Source: Alexandria via LeMat-Bulk
Functional: PBE+U
Structure: relaxed

The uncorrected energy is -7.269 eV per atom. The density of states at the Fermi level comes out at 0.00 states/eV per cell.

The structure belongs to space group P2_1/c (No. 14); the cell edges are 5.519, 5.834 and 9.627 Å and the angles 90.00°, 124.07° and 90.00°. The inequivalent atoms are Sm at (0.227, 0.067, 0.249), Co at (0.000, 0.000, 0.500), Sn at (0.500, 0.000, 0.000), O at (0.137, 0.193, 0.941), O at (0.246, 0.701, 0.936) and O at (0.372, 0.046, 0.752).